The following is a DFT calculation (PBE) of a relaxed structure of Ba2Hg7Pb12.

abc: 12.9497 12.9497 4.6064
angles: 90.00 90.00 120.00
Positions (direct):
1 Ba 0.3333 0.6667 0.2462
2 Ba 0.6667 0.3333 0.7538
3 Hg 0.0000 0.0000 0.5000
4 Hg 0.1374 0.7029 0.7439
5 Hg 0.2971 0.4345 0.7439
6 Hg 0.4345 0.1374 0.2561
7 Hg 0.5655 0.8626 0.7439
8 Hg 0.7029 0.5655 0.2561
9 Hg 0.8626 0.2971 0.2561
10 Pb 0.0543 0.4288 0.7498
11 Pb 0.1110 0.2593 0.2407
12 Pb 0.1483 0.8890 0.2407
13 Pb 0.2593 0.1483 0.7593
14 Pb 0.3745 0.9457 0.7498
15 Pb 0.4288 0.3745 0.2502
16 Pb 0.5712 0.6255 0.7498
17 Pb 0.6255 0.0543 0.2502
18 Pb 0.7407 0.8517 0.2407
19 Pb 0.8517 0.1110 0.7593
20 Pb 0.8890 0.7407 0.7593
21 Pb 0.9457 0.5712 0.2502

density of states at the Fermi level: 9.87 states/eV/f.u.
ΔE_f: -0.13 eV per atom
total energy: -2.536 eV/atom

The following is a DFT calculation (PBE) of a relaxed structure of Ba2HgPb.

abc: 6.1444 6.1444 21.1274
angles: 90.00 90.00 90.00
Positions (direct):
1 Ba 0.2462 0.2500 0.1250
2 Ba 0.2500 0.7462 0.3750
3 Ba 0.2500 0.7538 0.8750
4 Ba 0.2538 0.2500 0.6250
5 Ba 0.7462 0.7500 0.6250
6 Ba 0.7500 0.2462 0.8750
7 Ba 0.7500 0.2538 0.3750
8 Ba 0.7538 0.7500 0.1250
9 Hg 0.0000 0.0000 0.0000
10 Hg 0.0000 0.5000 0.2500
11 Hg 0.5000 0.0000 0.7500
12 Hg 0.5000 0.5000 0.5000
13 Pb 0.0000 0.0000 0.5000
14 Pb 0.0000 0.5000 0.7500
15 Pb 0.5000 0.0000 0.2500
16 Pb 0.5000 0.5000 0.0000

density of states at the Fermi level: 3.39 states/eV/f.u.
ΔE_f: -0.11 eV per atom
total energy: -2.071 eV/atom

The following is a DFT calculation (PBE) of a relaxed structure of BaHg3Pb2.

abc: 7.6374 7.6374 6.6508
angles: 90.00 90.00 97.24
Positions (direct):
1 Ba 0.2349 0.7651 0.7500
2 Ba 0.7651 0.2349 0.2500
3 Hg 0.0780 0.6089 0.2500
4 Hg 0.3911 0.9220 0.2500
5 Hg 0.4652 0.5348 0.2500
6 Hg 0.5348 0.4652 0.7500
7 Hg 0.6089 0.0780 0.7500
8 Hg 0.9220 0.3911 0.7500
9 Pb 0.2343 0.2343 0.0000
10 Pb 0.2343 0.2343 0.5000
11 Pb 0.7657 0.7657 0.0000
12 Pb 0.7657 0.7657 0.5000

density of states at the Fermi level: 2.74 states/eV/f.u.
ΔE_f: -0.23 eV per atom
total energy: -1.936 eV/atom

The following is a DFT calculation (PBE) of a relaxed structure of Ba2Hg8Pb.

abc: 5.2065 5.2065 13.1380
angles: 90.00 90.00 90.00
Positions (direct):
1 Ba 0.0000 0.0000 0.1889
2 Ba 0.0000 0.0000 0.8111
3 Hg 0.0000 0.5000 0.0000
4 Hg 0.0000 0.5000 0.3657
5 Hg 0.0000 0.5000 0.6343
6 Hg 0.5000 0.0000 0.0000
7 Hg 0.5000 0.0000 0.3657
8 Hg 0.5000 0.0000 0.6343
9 Hg 0.5000 0.5000 0.2130
10 Hg 0.5000 0.5000 0.7870
11 Pb 0.0000 0.0000 0.5000

density of states at the Fermi level: 7.06 states/eV/f.u.
ΔE_f: -0.29 eV per atom
total energy: -1.195 eV/atom

The following is a DFT calculation (PBE) of a relaxed structure of BaHgPb.

abc: 4.0421 4.0421 12.7068
angles: 90.00 90.00 90.00
Positions (direct):
1 Ba 0.0000 0.0000 0.0000
2 Ba 0.5000 0.5000 0.5000
3 Hg 0.0000 0.0000 0.3323
4 Hg 0.5000 0.5000 0.8323
5 Pb 0.0000 0.0000 0.6977
6 Pb 0.5000 0.5000 0.1977

density of states at the Fermi level: 2.20 states/eV/f.u.
ΔE_f: -0.38 eV per atom
total energy: -2.362 eV/atom

The following is a DFT calculation (PBE) of a relaxed structure of Ba2Hg5Pb3.

abc: 10.2132 10.2132 10.2132
angles: 106.02 88.61 138.44
Positions (direct):
1 Ba 0.1255 0.2418 0.3673
2 Ba 0.3745 0.7418 0.1162
3 Ba 0.6255 0.2582 0.8838
4 Ba 0.8745 0.7582 0.6327
5 Hg 0.0146 0.7500 0.2646
6 Hg 0.1258 0.6420 0.7678
7 Hg 0.2500 0.2500 0.0000
8 Hg 0.3742 0.1420 0.5161
9 Hg 0.4854 0.7500 0.7354
10 Hg 0.5146 0.2500 0.2646
11 Hg 0.6258 0.8580 0.4839
12 Hg 0.7500 0.7500 0.0000
13 Hg 0.8742 0.3580 0.2322
14 Hg 0.9854 0.2500 0.7354
15 Pb 0.1308 0.8786 0.0094
16 Pb 0.2500 0.7500 0.5000
17 Pb 0.3692 0.3786 0.7478
18 Pb 0.6308 0.6214 0.2522
19 Pb 0.7500 0.2500 0.5000
20 Pb 0.8692 0.1214 0.9906

density of states at the Fermi level: 3.43 states/eV/f.u.
ΔE_f: -0.33 eV per atom
total energy: -1.977 eV/atom

The following is a DFT calculation (PBE) of a relaxed structure of BaHgPb.

abc: 5.3886 6.7206 6.7789
angles: 79.19 66.60 66.41
Positions (direct):
1 Ba 0.0418 0.2128 0.2023
2 Ba 0.9582 0.7872 0.7977
3 Hg 0.3385 0.6183 0.2053
4 Hg 0.6615 0.3817 0.7947
5 Pb 0.3366 0.2339 0.5919
6 Pb 0.6634 0.7661 0.4081

density of states at the Fermi level: 0.67 states/eV/f.u.
ΔE_f: -0.50 eV per atom
total energy: -2.479 eV/atom

The following is a DFT calculation (PBE) of a relaxed structure of BaHg5Pb.

abc: 6.1551 10.0324 7.3645
angles: 90.00 90.19 90.00
Positions (direct):
1 Ba 0.0000 0.0000 0.0000
2 Ba 0.5000 0.5000 0.0000
3 Hg 0.0000 0.0000 0.5000
4 Hg 0.2503 0.2503 0.2622
5 Hg 0.2497 0.2497 0.7378
6 Hg 0.2503 0.7497 0.2622
7 Hg 0.2497 0.7503 0.7378
8 Hg 0.5000 0.5000 0.5000
9 Hg 0.7503 0.2497 0.2622
10 Hg 0.7497 0.2503 0.7378
11 Hg 0.7503 0.7503 0.2622
12 Hg 0.7497 0.7497 0.7378
13 Pb 0.0000 0.5000 0.5000
14 Pb 0.5000 0.0000 0.5000

density of states at the Fermi level: 2.65 states/eV/f.u.
ΔE_f: -0.20 eV per atom
total energy: -1.217 eV/atom

The following is a DFT calculation (PBE) of a relaxed structure of BaHg4Pb4.

abc: 7.4055 7.4055 10.7423
angles: 90.00 90.00 90.00
Positions (direct):
1 Ba 0.2500 0.7500 0.2500
2 Ba 0.7500 0.2500 0.7500
3 Hg 0.0337 0.2500 0.0470
4 Hg 0.2500 0.0337 0.5470
5 Hg 0.2500 0.4663 0.5470
6 Hg 0.4663 0.2500 0.0470
7 Hg 0.5337 0.7500 0.9530
8 Hg 0.7500 0.5337 0.4530
9 Hg 0.7500 0.9663 0.4530
10 Hg 0.9663 0.7500 0.9530
11 Pb 0.0251 0.2500 0.3425
12 Pb 0.2500 0.0251 0.8425
13 Pb 0.2500 0.4749 0.8425
14 Pb 0.4749 0.2500 0.3425
15 Pb 0.5251 0.7500 0.6575
16 Pb 0.7500 0.5251 0.1575
17 Pb 0.7500 0.9749 0.1575
18 Pb 0.9749 0.7500 0.6575

density of states at the Fermi level: 4.67 states/eV/f.u.
ΔE_f: -0.12 eV per atom
total energy: -2.116 eV/atom

The following is a DFT calculation (PBE) of a relaxed structure of Ba3Hg2Pb.

abc: 9.5090 9.5090 8.5194
angles: 90.01 90.01 143.27
Positions (direct):
1 Ba 0.0000 0.0000 0.2503
2 Ba 0.0000 0.0000 0.7497
3 Ba 0.3334 0.6671 0.2494
4 Ba 0.3329 0.6666 0.7506
5 Ba 0.6671 0.3334 0.2494
6 Ba 0.6666 0.3329 0.7506
7 Hg 0.1661 0.8339 0.5000
8 Hg 0.5000 0.5000 0.0000
9 Hg 0.5000 0.5000 0.5000
10 Hg 0.8339 0.1661 0.5000
11 Pb 0.1638 0.8362 0.0000
12 Pb 0.8362 0.1638 0.0000

density of states at the Fermi level: 3.91 states/eV/f.u.
ΔE_f: -0.54 eV per atom
total energy: -2.219 eV/atom

The following is a DFT calculation (PBE) of a relaxed structure of BaHg3Pb2.

abc: 9.7565 9.7565 8.6290
angles: 116.24 116.24 31.61
Positions (direct):
1 Ba 0.1407 0.1407 0.1399
2 Ba 0.8593 0.8593 0.8601
3 Hg 0.0002 0.0002 0.3343
4 Hg 0.9998 0.9998 0.6657
5 Hg 0.3191 0.3191 0.5391
6 Hg 0.3201 0.3201 0.1018
7 Hg 0.6799 0.6799 0.8982
8 Hg 0.6809 0.6809 0.4609
9 Pb 0.1757 0.1757 0.6758
10 Pb 0.4995 0.4995 0.8207
11 Pb 0.5005 0.5005 0.1793
12 Pb 0.8243 0.8243 0.3242

density of states at the Fermi level: 2.72 states/eV/f.u.
ΔE_f: -0.27 eV per atom
total energy: -1.982 eV/atom

The following is a DFT calculation (PBE) of a relaxed structure of Ba4HgPb2.

abc: 10.4623 10.4623 10.4623
angles: 33.58 33.58 33.58
Positions (direct):
1 Ba 0.1235 0.1235 0.1235
2 Ba 0.3736 0.3736 0.3736
3 Ba 0.6264 0.6264 0.6264
4 Ba 0.8765 0.8765 0.8765
5 Hg 0.0000 0.0000 0.0000
6 Pb 0.2492 0.2492 0.2492
7 Pb 0.7508 0.7508 0.7508

density of states at the Fermi level: 1.22 states/eV/f.u.
ΔE_f: -0.55 eV per atom
total energy: -2.748 eV/atom

> Number 1 is which compound?

Ba2Hg7Pb12